1.
Material: CaThMgTl
Method: DFT, PBE
State: relaxed

```
CaThMgTl
1.0
-2.103 -4.201 -2.834
2.899 -2.303 -4.050
2.067 -5.043 0.630
Ca Th Mg Tl
1 1 1 1
Direct
0.750 0.750 0.750
0.250 0.250 0.250
0.500 0.500 0.500
0.000 0.000 0.000
```

Computed properties:
Formation enthalpy at 0 K in eV per formula unit: -0.28
Size of the total moment in μB per cell: 0.0

2.
Material: SmZrSc2
Method: DFT, PBE
State: relaxed

```
SmZrSc2
1.0
3.329 0.000 0.000
1.665 2.883 0.000
1.665 0.961 10.795
Sc Sm Zr
2 1 1
Direct
0.256 0.256 0.233
0.744 0.744 0.767
0.500 0.500 0.500
0.000 0.000 0.000
```

Computed properties:
Formation enthalpy at 0 K in eV per formula unit: 0.26
Energy above the most stable polymorph in this dataset in meV per atom: 29
Size of the total moment in μB per cell: 0.0

3.
Material: Ba2TaOs
Method: DFT, PBE
State: relaxed

```
Ba2TaOs
1.0
3.250 0.006 0.000
-0.004 3.250 0.000
0.000 0.000 10.440
Os Ta Ba
1 1 2
Direct
0.500 0.500 0.250
0.500 0.500 0.750
0.000 0.000 0.035
0.000 0.000 0.465
```

Computed properties:
Formation enthalpy at 0 K in eV per formula unit: 5.75
Energy above the most stable polymorph in this dataset in meV per atom: 1132
Size of the total moment in μB per cell: 1.9

The evaluated DOS(E_F) for the records listed, in turn: 0.880, 1.610, 1.506 states/eV/atom.